First-principles (PBE) data for an optimized crystal structure of Sc2IrRh8, as listed in Alexandria. Values from VASP.

Output
- ΔE_f: -0.193 eV/atom
- Density of states at the Fermi level: 15.50 states/eV per cell

Cell and atoms, written as Quantum ESPRESSO input:
```
&SYSTEM
  ibrav = 0, nat = 11, ntyp = 3
/
ATOMIC_SPECIES
Rh 102.91 Rh.upf
Ir 192.22 Ir.upf
Sc 44.96 Sc.upf
ATOMIC_POSITIONS angstrom
Rh 4.959 5.777 8.103
Rh 3.554 5.649 5.763
Rh 7.465 5.304 7.789
Rh 3.119 3.139 4.453
Rh 5.625 2.665 4.139
Rh 3.375 3.722 7.247
Rh 7.030 2.793 6.478
Rh 7.209 4.720 4.995
Ir 0.000 0.000 0.000
Sc 6.947 6.954 9.871
Sc 3.637 1.488 2.371
CELL_PARAMETERS angstrom
6.429 1.115 2.221
2.263 5.667 3.468
1.892 1.661 6.552
```

***

First-principles (PBE) data for an optimized crystal structure of CdCu2Hg, as listed in Alexandria. Values from VASP.

Output
- ΔE_f: 0.129 eV/atom
- Density of states at the Fermi level: 1.09 states/eV per cell

Cell and atoms, written as Quantum ESPRESSO input:
```
&SYSTEM
  ibrav = 0, nat = 4, ntyp = 3
/
ATOMIC_SPECIES
Cu 63.55 Cu.upf
Cd 112.41 Cd.upf
Hg 200.59 Hg.upf
ATOMIC_POSITIONS angstrom
Cu 0.010 -2.495 -0.758
Cu 4.382 -3.382 0.651
Cd 3.511 -4.310 -1.865
Hg 2.648 -1.506 -0.593
CELL_PARAMETERS angstrom
-2.260 -3.271 -1.783
1.753 0.084 -2.375
4.072 -3.420 1.112
```

***

First-principles (PBE) data for an optimized crystal structure of NdHoZnGe, as listed in Alexandria. Values from VASP.

Output
- ΔE_f: -0.515 eV/atom
- Energy above the lowest structure with this stoichiometry: 0.31 eV/f.u.
- Density of states at the Fermi level: 2.48 states/eV per cell

Cell and atoms, written as Quantum ESPRESSO input:
```
&SYSTEM
  ibrav = 0, nat = 4, ntyp = 4
/
ATOMIC_SPECIES
Ho 164.93 Ho.upf
Zn 65.41 Zn.upf
Nd 144.24 Nd.upf
Ge 72.64 Ge.upf
ATOMIC_POSITIONS angstrom
Ho 5.098 2.943 2.081
Zn 7.646 4.415 3.122
Nd 0.000 0.000 0.000
Ge 2.549 1.472 1.041
CELL_PARAMETERS angstrom
5.098 0.000 0.000
2.549 4.415 0.000
2.549 1.472 4.162
```

***

First-principles (PBE) data for an optimized crystal structure of Cr2TcMo, as listed in Alexandria. Values from VASP.

Output
- ΔE_f: 0.349 eV/atom
- Energy above the lowest structure with this stoichiometry: 1.17 eV/f.u.
- Density of states at the Fermi level: 3.79 states/eV per cell

Cell and atoms, written as Quantum ESPRESSO input:
```
&SYSTEM
  ibrav = 0, nat = 4, ntyp = 3
/
ATOMIC_SPECIES
Mo 95.94 Mo.upf
Cr 52.00 Cr.upf
Tc 98.00 Tc.upf
ATOMIC_POSITIONS angstrom
Mo -4.868 4.320 -1.175
Cr -0.067 0.059 -0.016
Cr -9.669 8.582 -2.334
Tc -14.604 12.961 -3.525
CELL_PARAMETERS angstrom
-6.345 5.510 -3.092
-7.465 4.891 -0.727
-5.662 6.881 -0.881
```

***

First-principles (PBE) data for an optimized crystal structure of BaLaRe2, as listed in Alexandria. Values from VASP.

Output
- ΔE_f: 1.294 eV/atom
- Energy above the lowest structure with this stoichiometry: 4.17 eV/f.u.
- Density of states at the Fermi level: 5.51 states/eV per cell

Cell and atoms, written as Quantum ESPRESSO input:
```
&SYSTEM
  ibrav = 0, nat = 4, ntyp = 3
/
ATOMIC_SPECIES
Ba 137.33 Ba.upf
La 138.91 La.upf
Re 186.21 Re.upf
ATOMIC_POSITIONS angstrom
Ba -1.107 3.110 1.443
La 1.551 2.692 -0.007
Re 3.103 0.409 1.419
Re 0.000 0.000 0.000
CELL_PARAMETERS angstrom
5.762 -0.009 -0.031
-2.659 5.394 0.016
0.444 0.827 2.869
```

***

First-principles (PBE) data for an optimized crystal structure of Tb2NdCd, as listed in Alexandria. Values from VASP.

Output
- ΔE_f: -0.096 eV/atom
- Energy above the lowest structure with this stoichiometry: 0.21 eV/f.u.
- Density of states at the Fermi level: 5.69 states/eV per cell

Cell and atoms, written as Quantum ESPRESSO input:
```
&SYSTEM
  ibrav = 0, nat = 4, ntyp = 3
/
ATOMIC_SPECIES
Tb 158.93 Tb.upf
Nd 144.24 Nd.upf
Cd 112.41 Cd.upf
ATOMIC_POSITIONS angstrom
Tb 0.000 2.452 0.000
Tb 0.000 0.000 2.452
Nd 2.448 0.000 0.000
Cd 2.448 2.452 2.452
CELL_PARAMETERS angstrom
4.896 0.000 0.000
0.000 4.905 0.000
0.000 0.000 4.905
```

***

First-principles (PBE) data for an optimized crystal structure of AlIrCl, as listed in Alexandria. Values from VASP.

Output
- Energy above the lowest structure with this stoichiometry: 1.78 eV/f.u.
- Energy relative to the elements, uncorrected: 0.55 eV/f.u.
- Density of states at the Fermi level: 1.74 states/eV per cell

Cell and atoms, written as Quantum ESPRESSO input:
```
&SYSTEM
  ibrav = 0, nat = 3, ntyp = 3
/
ATOMIC_SPECIES
Ir 192.22 Ir.upf
Cl 35.45 Cl.upf
Al 26.98 Al.upf
ATOMIC_POSITIONS angstrom
Ir 1.893 -7.572 0.141
Cl 1.262 -5.048 0.094
Al 0.000 0.000 0.000
CELL_PARAMETERS angstrom
-0.488 -3.659 2.104
-0.204 -3.668 -2.136
3.216 -2.769 0.220
```

***

First-principles (PBE) data for an optimized crystal structure of SrRh2Au, as listed in Alexandria. Values from VASP.

Output
- ΔE_f: 0.033 eV/atom
- Density of states at the Fermi level: 4.19 states/eV per cell

Cell and atoms, written as Quantum ESPRESSO input:
```
&SYSTEM
  ibrav = 0, nat = 4, ntyp = 3
/
ATOMIC_SPECIES
Rh 102.91 Rh.upf
Au 196.97 Au.upf
Sr 87.62 Sr.upf
ATOMIC_POSITIONS angstrom
Rh 0.000 0.000 0.000
Rh 1.526 0.997 2.394
Au 1.302 2.686 -0.058
Sr -1.108 2.206 1.679
CELL_PARAMETERS angstrom
-1.332 3.895 -0.773
-0.885 0.517 4.130
3.936 1.477 0.658
```

***

First-principles (PBE) data for an optimized crystal structure of BaSrBeN2, as listed in Alexandria. Values from VASP.

Output
- Energy relative to the elements, uncorrected: -3.27 eV/f.u.

Cell and atoms, written as Quantum ESPRESSO input:
```
&SYSTEM
  ibrav = 0, nat = 10, ntyp = 4
/
ATOMIC_SPECIES
Ba 137.33 Ba.upf
N 14.01 N.upf
Be 9.01 Be.upf
Sr 87.62 Sr.upf
ATOMIC_POSITIONS angstrom
Ba 0.205 2.004 5.615
Ba 5.064 2.594 2.045
N 4.179 3.511 7.511
N 1.090 4.100 3.941
N 1.090 1.087 0.149
N 4.179 0.497 3.720
Be 0.000 0.000 0.000
Be 0.000 -0.590 3.570
Sr 2.692 -0.885 5.356
Sr 2.578 -0.295 1.785
CELL_PARAMETERS angstrom
5.269 0.000 0.000
0.000 5.777 0.519
0.000 -1.179 7.141
```

***

First-principles (PBE) data for an optimized crystal structure of Rb2SnMoBr6, as listed in Alexandria. Values from VASP.

Output
- Energy relative to the elements, uncorrected: -9.28 eV/f.u.
- Density of states at the Fermi level: 1.95 states/eV per cell

Cell and atoms, written as Quantum ESPRESSO input:
```
&SYSTEM
  ibrav = 0, nat = 10, ntyp = 4
/
ATOMIC_SPECIES
Mo 95.94 Mo.upf
Rb 85.47 Rb.upf
Br 79.90 Br.upf
Sn 118.71 Sn.upf
ATOMIC_POSITIONS angstrom
Mo 3.998 3.998 0.000
Rb 3.998 7.996 2.834
Rb 7.996 3.998 2.834
Br 3.998 3.998 2.697
Br 2.098 2.098 0.000
Br 5.899 2.098 0.000
Br 5.899 5.899 0.000
Br 2.098 5.899 0.000
Br 7.996 7.996 2.971
Sn 0.000 0.000 0.000
CELL_PARAMETERS angstrom
7.996 0.000 0.000
0.000 7.996 0.000
3.998 3.998 5.668
```

***

First-principles (PBE) data for an optimized crystal structure of CaTlCo2Cl8, as listed in Alexandria. Values from VASP.

Output
- Energy relative to the elements, uncorrected: -12.90 eV/f.u.
- Density of states at the Fermi level: 13.47 states/eV per cell

Cell and atoms, written as Quantum ESPRESSO input:
```
&SYSTEM
  ibrav = 0, nat = 12, ntyp = 4
/
ATOMIC_SPECIES
Cl 35.45 Cl.upf
Tl 204.38 Tl.upf
Co 58.93 Co.upf
Ca 40.08 Ca.upf
ATOMIC_POSITIONS angstrom
Cl 7.479 1.864 7.752
Cl 3.237 1.869 4.525
Cl 5.353 1.930 1.653
Cl 5.469 5.612 1.653
Cl 4.349 3.804 7.752
Cl 7.594 5.545 7.752
Cl 9.711 5.607 4.881
Cl 8.599 3.671 1.653
Tl 6.474 3.738 4.703
Co 9.711 5.607 7.057
Co 3.237 1.869 2.348
Ca 0.000 0.000 0.000
CELL_PARAMETERS angstrom
6.474 0.000 0.000
3.237 5.607 0.000
3.237 1.869 9.405
```

***

First-principles (PBE) data for an optimized crystal structure of TbY2Ru2, as listed in Alexandria. Values from VASP.

Output
- ΔE_f: -0.203 eV/atom
- Energy above the lowest structure with this stoichiometry: 0.41 eV/f.u.
- Density of states at the Fermi level: 8.02 states/eV per cell

Cell and atoms, written as Quantum ESPRESSO input:
```
&SYSTEM
  ibrav = 0, nat = 10, ntyp = 3
/
ATOMIC_SPECIES
Ru 101.07 Ru.upf
Y 88.91 Y.upf
Tb 158.93 Tb.upf
ATOMIC_POSITIONS angstrom
Ru 2.740 -6.442 -1.432
Ru -2.210 -2.391 -3.560
Ru -1.029 -4.658 1.218
Ru 3.921 -8.710 3.345
Y 1.813 -5.127 1.283
Y 3.814 -8.332 0.503
Y -0.102 -5.973 -1.497
Y -2.103 -2.769 -0.718
Tb 1.151 -8.337 3.006
Tb 0.560 -2.763 -3.220
CELL_PARAMETERS angstrom
-3.708 -2.276 -0.163
0.520 -0.456 -5.458
4.899 -8.368 5.406
```

***

First-principles (PBE) data for an optimized crystal structure of La4Pr3HoTe8, as listed in Alexandria. Values from VASP.

Output
- Energy relative to the elements, uncorrected: -23.86 eV/f.u.
- Density of states at the Fermi level: 12.39 states/eV per cell

Cell and atoms, written as Quantum ESPRESSO input:
```
&SYSTEM
  ibrav = 0, nat = 16, ntyp = 4
/
ATOMIC_SPECIES
Pr 140.91 Pr.upf
Te 127.60 Te.upf
La 138.91 La.upf
Ho 164.93 Ho.upf
ATOMIC_POSITIONS angstrom
Pr 0.964 -0.723 4.361
Pr 3.692 -2.366 1.116
Pr -3.168 -2.510 4.979
Te -0.113 2.179 5.172
Te 3.479 -0.110 6.241
Te 6.272 -1.793 2.918
Te 2.042 -3.624 3.551
Te 2.554 0.523 1.882
Te -1.551 -1.335 2.482
Te -4.344 0.348 5.805
Te -0.626 -1.968 6.841
La 4.133 1.788 -0.617
La 1.405 3.431 2.628
La 0.000 0.000 0.000
La -2.728 1.644 3.246
Ho -0.441 -4.154 1.733
CELL_PARAMETERS angstrom
-5.455 3.287 6.491
-0.881 -8.308 3.467
8.265 3.576 -1.235
```

***

First-principles (PBE) data for an optimized crystal structure of Zn3GeI, as listed in Alexandria. Values from VASP.

Output
- Energy above the lowest structure with this stoichiometry: 4.78 eV/f.u.
- Energy relative to the elements, uncorrected: 5.28 eV/f.u.
- Density of states at the Fermi level: 4.53 states/eV per cell

Cell and atoms, written as Quantum ESPRESSO input:
```
&SYSTEM
  ibrav = 0, nat = 5, ntyp = 3
/
ATOMIC_SPECIES
Zn 65.41 Zn.upf
I 126.90 I.upf
Ge 72.64 Ge.upf
ATOMIC_POSITIONS angstrom
Zn -1.459 1.511 1.687
Zn 0.426 -1.788 1.969
Zn 2.224 1.334 0.729
I 0.000 0.000 0.000
Ge 1.191 1.056 4.386
CELL_PARAMETERS angstrom
-2.918 3.021 3.374
0.852 -3.576 3.939
4.448 2.667 1.459
```

***

First-principles (PBE) data for an optimized crystal structure of ErTh3Tl12, as listed in Alexandria. Values from VASP.

Output
- ΔE_f: -0.163 eV/atom
- Density of states at the Fermi level: 7.50 states/eV per cell

Cell and atoms, written as Quantum ESPRESSO input:
```
&SYSTEM
  ibrav = 0, nat = 16, ntyp = 3
/
ATOMIC_SPECIES
Th 232.04 Th.upf
Tl 204.38 Tl.upf
Er 167.26 Er.upf
ATOMIC_POSITIONS angstrom
Th -0.465 -10.471 10.290
Th -0.309 -6.964 6.844
Th -0.154 -3.458 3.398
Tl -2.391 -1.236 2.011
Tl -0.799 -6.819 3.453
Tl -2.547 -4.757 5.472
Tl -1.111 -13.853 10.366
Tl -0.643 -3.297 -0.008
Tl -2.859 -11.792 12.385
Tl -0.955 -10.332 6.905
Tl -2.883 -1.161 -1.311
Tl -3.349 -11.635 8.982
Tl -3.193 -8.125 5.533
Tl -3.037 -4.615 2.083
Tl -2.703 -8.270 8.924
Er 0.000 0.000 0.000
CELL_PARAMETERS angstrom
-4.631 0.901 0.707
-1.135 -3.222 -3.330
-0.619 -13.928 13.688
```

***

First-principles (PBE) data for an optimized crystal structure of Cs2AgAs2O6, as listed in Alexandria. Values from VASP.

Output
- Energy relative to the elements, uncorrected: -12.77 eV/f.u.
- Density of states at the Fermi level: 2.06 states/eV per cell

Cell and atoms, written as Quantum ESPRESSO input:
```
&SYSTEM
  ibrav = 0, nat = 11, ntyp = 4
/
ATOMIC_SPECIES
As 74.92 As.upf
O 16.00 O.upf
Cs 132.91 Cs.upf
Ag 107.87 Ag.upf
ATOMIC_POSITIONS angstrom
As -0.515 -7.236 -1.947
As 1.132 -8.455 -0.258
O 2.251 -9.174 -1.339
O 0.060 -9.525 0.544
O -1.634 -6.517 -0.866
O 0.557 -6.166 -2.749
O 1.711 -7.131 0.663
O -1.094 -8.560 -2.868
Cs 0.481 -4.165 -0.216
Cs 0.136 -11.526 -1.989
Ag 0.000 0.000 0.000
CELL_PARAMETERS angstrom
-3.587 -5.199 -0.257
1.172 -4.437 -4.348
3.032 -6.054 2.400
```

***

First-principles (PBE) data for an optimized crystal structure of BaLiCdPd2, as listed in Alexandria. Values from VASP.

Output
- ΔE_f: 0.149 eV/atom
- Energy above the lowest structure with this stoichiometry: 3.12 eV/f.u.
- Density of states at the Fermi level: 2.66 states/eV per cell

Cell and atoms, written as Quantum ESPRESSO input:
```
&SYSTEM
  ibrav = 0, nat = 5, ntyp = 4
/
ATOMIC_SPECIES
Li 6.94 Li.upf
Pd 106.42 Pd.upf
Ba 137.33 Ba.upf
Cd 112.41 Cd.upf
ATOMIC_POSITIONS angstrom
Li 0.000 0.000 0.000
Pd 2.360 0.000 0.000
Pd 0.000 0.000 2.360
Ba 0.000 2.705 0.000
Cd 2.360 2.705 2.360
CELL_PARAMETERS angstrom
4.720 0.000 0.000
0.000 5.410 0.000
0.000 0.000 4.720
```

***

First-principles (PBE) data for an optimized crystal structure of MoWAu2, as listed in Alexandria. Values from VASP.

Output
- ΔE_f: 0.718 eV/atom
- Energy above the lowest structure with this stoichiometry: 2.05 eV/f.u.
- Density of states at the Fermi level: 6.24 states/eV per cell

Cell and atoms, written as Quantum ESPRESSO input:
```
&SYSTEM
  ibrav = 0, nat = 8, ntyp = 3
/
ATOMIC_SPECIES
Au 196.97 Au.upf
W 183.84 W.upf
Mo 95.94 Mo.upf
ATOMIC_POSITIONS angstrom
Au 0.947 2.844 2.499
Au 2.844 2.842 7.497
Au 4.739 4.741 7.497
Au 2.845 0.948 2.499
W 3.792 1.896 4.998
W 0.000 0.000 0.000
Mo 1.896 1.896 0.000
Mo 1.896 3.792 4.998
CELL_PARAMETERS angstrom
3.792 0.000 0.000
0.000 3.792 0.000
1.896 1.896 9.996
```

***

First-principles (PBE) data for an optimized crystal structure of Sm5In2Bi, as listed in Alexandria. Values from VASP.

Output
- ΔE_f: -0.484 eV/atom
- Density of states at the Fermi level: 16.48 states/eV per cell

Cell and atoms, written as Quantum ESPRESSO input:
```
&SYSTEM
  ibrav = 0, nat = 16, ntyp = 3
/
ATOMIC_SPECIES
Sm 150.36 Sm.upf
In 114.82 In.upf
Bi 208.98 Bi.upf
ATOMIC_POSITIONS angstrom
Sm -5.183 2.011 1.002
Sm -5.981 -1.451 -0.293
Sm -2.141 5.213 -0.392
Sm 0.000 0.000 0.000
Sm -5.461 2.485 -5.501
Sm -2.940 1.751 -1.687
Sm -4.700 -0.862 -3.838
Sm 0.379 4.478 3.422
Sm -8.502 -0.716 -4.107
Sm -2.662 1.277 4.816
In -2.840 -1.343 -1.113
In -2.548 1.453 -4.897
In -6.851 -3.177 -2.778
In -6.559 -0.382 -6.562
Bi -6.411 1.450 -2.262
Bi -1.711 2.312 1.576
CELL_PARAMETERS angstrom
-2.409 3.398 -7.600
-6.990 -5.123 -0.075
1.277 5.487 6.990
```

***

First-principles (PBE) data for an optimized crystal structure of CsNa2Tl2, as listed in Alexandria. Values from VASP.

Output
- ΔE_f: -0.023 eV/atom
- Energy above the lowest structure with this stoichiometry: 0.12 eV/f.u.
- Density of states at the Fermi level: 5.86 states/eV per cell

Cell and atoms, written as Quantum ESPRESSO input:
```
&SYSTEM
  ibrav = 0, nat = 5, ntyp = 3
/
ATOMIC_SPECIES
Cs 132.91 Cs.upf
Tl 204.38 Tl.upf
Na 22.99 Na.upf
ATOMIC_POSITIONS angstrom
Cs 0.000 0.000 0.000
Tl -4.145 1.619 0.511
Tl -8.244 4.324 1.421
Na -6.156 3.696 -1.011
Na -6.234 2.247 2.943
CELL_PARAMETERS angstrom
-4.129 1.636 -3.968
-4.285 -1.261 3.939
-3.975 5.568 1.962
```